# Ta2CoHPd PBE optimized geometry
# raw total energy = -8.019 eV per atom
# N(E_F) = 3.7 states/eV/f.u.
# crystal system = tetragonal
data_Ta2CoHPd
_chemical_formula_sum 'Ta2 Co1 H1 Pd1'
_space_group_name_H-M_alt 'P 4/m m m'
_space_group_IT_number 123
_space_group_name_Hall '-P 4 2'
_cell_length_a 4.0539
_cell_length_b 4.0539
_cell_length_c 3.8670
_cell_angle_alpha 90.00
_cell_angle_beta 90.00
_cell_angle_gamma 90.00
loop_
_atom_site_label
_atom_site_type_symbol
_atom_site_fract_x
_atom_site_fract_y
_atom_site_fract_z
Ta1 Ta 0.0000 0.5000 0.0000
Co1 Co 0.0000 0.0000 0.5000
H1 H 0.0000 0.0000 0.0000
Pd1 Pd 0.5000 0.5000 0.5000


# LaPmGaBr PBE optimized geometry
# N(E_F) = 3.7 states/eV/f.u.
# crystal system = cubic
# ΔE_f (raw) = -2.92 eV per formula unit
data_LaPmGaBr
_chemical_formula_sum 'La4 Pm4 Ga4 Br4'
_space_group_name_H-M_alt 'F -4 3 m'
_space_group_IT_number 216
_space_group_name_Hall 'F -4 2 3'
_cell_length_a 7.5670
_cell_length_b 7.5670
_cell_length_c 7.5670
_cell_angle_alpha 90.00
_cell_angle_beta 90.00
_cell_angle_gamma 90.00
loop_
_atom_site_label
_atom_site_type_symbol
_atom_site_fract_x
_atom_site_fract_y
_atom_site_fract_z
La1 La 0.0000 0.0000 0.0000
Pm1 Pm 0.0000 0.0000 0.5000
Ga1 Ga 0.2500 0.2500 0.2500
Br1 Br 0.2500 0.2500 0.7500


# AlInRe PBE optimized geometry
# N(E_F) = 1.7 states/eV/f.u.
# crystal system = tetragonal
# formation energy = 367.0 meV per atom
data_AlInRe
_chemical_formula_sum 'Al2 In2 Re2'
_space_group_name_H-M_alt 'I 4 m m'
_space_group_IT_number 107
_space_group_name_Hall 'I 4 -2'
_cell_length_a 2.9059
_cell_length_b 2.9059
_cell_length_c 12.6332
_cell_angle_alpha 90.00
_cell_angle_beta 90.00
_cell_angle_gamma 90.00
loop_
_atom_site_label
_atom_site_type_symbol
_atom_site_fract_x
_atom_site_fract_y
_atom_site_fract_z
Al1 Al 0.0000 0.0000 0.0000
In1 In 0.0000 0.0000 0.6988
Re1 Re 0.0000 0.0000 0.3681


# Rb6Hg12Pd PBE optimized geometry
# N(E_F) = 8.3 states/eV/f.u.
# crystal system = trigonal
# formation energy = -183.3 meV per atom
data_Rb6Hg12Pd
_chemical_formula_sum 'Rb18 Hg36 Pd3'
_space_group_name_H-M_alt 'R -3'
_space_group_IT_number 148
_space_group_name_Hall '-R 3'
_cell_length_a 14.1386
_cell_length_b 14.1386
_cell_length_c 12.6942
_cell_angle_alpha 90.00
_cell_angle_beta 90.00
_cell_angle_gamma 120.00
loop_
_atom_site_label
_atom_site_type_symbol
_atom_site_fract_x
_atom_site_fract_y
_atom_site_fract_z
Rb1 Rb 0.0075 0.8209 0.2509
Hg1 Hg 0.0220 0.2180 0.0387
Hg2 Hg 0.0320 0.8146 0.5434
Pd1 Pd 0.0000 0.0000 0.5000


# Sm4AuBr5 PBE optimized geometry
# N(E_F) = 3.3 states/eV/f.u.
# crystal system = monoclinic
# ΔE_f (raw) = -14.11 eV per formula unit
data_Sm4AuBr5
_chemical_formula_sum 'Sm8 Au2 Br10'
_space_group_name_H-M_alt 'C 1 2/m 1'
_space_group_IT_number 12
_space_group_name_Hall '-C 2y'
_cell_length_a 18.6988
_cell_length_b 4.1008
_cell_length_c 8.7935
_cell_angle_alpha 90.00
_cell_angle_beta 102.98
_cell_angle_gamma 90.00
loop_
_atom_site_label
_atom_site_type_symbol
_atom_site_fract_x
_atom_site_fract_y
_atom_site_fract_z
Sm1 Sm 0.0024 0.0000 0.2311
Sm2 Sm 0.1569 0.5000 0.0805
Au1 Au 0.0000 0.5000 0.0000
Br1 Br 0.0000 0.5000 0.5000
Br2 Br 0.1682 0.0000 0.3309
Br3 Br 0.1722 0.0000 0.8349


# Zn2ReCl PBE optimized geometry
# N(E_F) = 3.3 states/eV/f.u.
# crystal system = orthorhombic
# ΔE_f (raw) = 2.73 eV per formula unit
data_Zn2ReCl
_chemical_formula_sum 'Zn2 Re1 Cl1'
_space_group_name_H-M_alt 'P m m m'
_space_group_IT_number 47
_space_group_name_Hall '-P 2 2'
_cell_length_a 2.7685
_cell_length_b 4.4889
_cell_length_c 5.0201
_cell_angle_alpha 90.00
_cell_angle_beta 90.00
_cell_angle_gamma 90.00
loop_
_atom_site_label
_atom_site_type_symbol
_atom_site_fract_x
_atom_site_fract_y
_atom_site_fract_z
Zn1 Zn 0.0000 0.0000 0.0000
Zn2 Zn 0.5000 0.5000 0.0000
Re1 Re 0.0000 0.5000 0.5000
Cl1 Cl 0.5000 0.0000 0.5000